# 1
This record from Alexandria describes a relaxed structure of Ac2PmNd3Y6. The functional is PBE.

Cell and atoms, written as extended XYZ:
```
12
Lattice="-1.398 5.961 1.853 1.029 -4.551 4.376 11.623 2.204 -1.999" Properties=species:S:1:pos:R:3 pbc="T T T"
Ac 0.220 -1.046 3.535
Ac -0.589 2.456 2.694
Pm 0.000 0.000 0.000
Nd 6.436 -1.696 2.956
Nd 4.818 5.311 1.274
Nd 5.627 1.807 2.115
Y 7.989 4.442 2.763
Y 2.679 1.623 4.185
Y 3.266 -0.828 1.467
Y 8.792 0.960 3.599
Y 8.575 1.991 0.046
Y 2.462 2.654 0.631
```

DFT total energy   -5.480 eV/atom
Calculated volume   34.871 Å³/atom
Space-group type   C2/m, No. 12
Formation energy   0.0242 eV/atom


# 2
This record from Alexandria describes a relaxed structure of AcPmNd2Y. The functional is PBE.

Cell and atoms, written as extended XYZ:
```
10
Lattice="5.970 0.000 0.000 0.000 6.435 1.084 0.000 1.673 9.827" Properties=species:S:1:pos:R:3 pbc="T T T"
Ac 4.478 3.980 2.576
Ac 1.493 4.128 8.335
Pm 4.478 3.313 6.279
Pm 1.493 4.795 4.632
Nd 4.478 6.301 8.689
Nd 1.493 1.807 2.222
Nd 1.493 1.254 5.897
Nd 4.478 6.854 5.014
Y 1.493 7.073 10.728
Y 4.478 1.035 0.183
```

DFT total energy   -4.933 eV/atom
Calculated volume   36.672 Å³/atom
Space-group type   P2_1/m, No. 11
Formation energy   0.0390 eV/atom